No. 1
BeTc2Cl: relaxed, GGA-PBEsol.

The magnetization is 0.00 μB per formula unit. The formation energy from raw total energies is 0.662 eV per atom. The calculation puts the theoretical density at 8.35 Mg/m³.

The structure belongs to space group Fm-3m (No. 225); the cell edges are 5.7621, 5.7621 and 5.7621 Å and the angles 90.00°, 90.00° and 90.00°. Symmetry generates all atoms from Be at (0.0000, 0.0000, 0.0000), Tc at (0.2500, 0.2500, 0.2500) and Cl at (0.0000, 0.0000, 0.5000).

No. 2
TcBr6N2: relaxed, GGA-PBEsol.

The magnetization is 4.71 μB per formula unit. The formation energy from raw total energies is 1.044 eV per atom. The calculation puts the theoretical density at 4.38 Mg/m³.

The structure belongs to space group Fm-3m (No. 225); the cell edges are 9.7186, 9.7186 and 9.7186 Å and the angles 90.00°, 90.00° and 90.00°. Symmetry generates all atoms from Tc at (0.0000, 0.0000, 0.0000), Br at (0.0000, 0.0000, 0.2504) and N at (0.2500, 0.2500, 0.2500).

No. 3
SrCd3Bi: relaxed, GGA-PBEsol.

The calculated formation energy comes out at 0.245 eV/atom. The magnetization is 0.00 μB per formula unit. The calculation puts the theoretical density at 5.81 Mg/m³.

The structure belongs to space group Pm-3m (No. 221); the cell edges are 5.6590, 5.6590 and 5.6590 Å and the angles 90.00°, 90.00° and 90.00°. Symmetry generates all atoms from Sr at (0.0000, 0.0000, 0.0000), Cd at (0.0000, 0.5000, 0.5000) and Bi at (0.5000, 0.5000, 0.5000).

No. 4
Sr3MnN: relaxed, GGA-PBEsol.

The magnetization is 4.35 μB per formula unit. The formation energy from raw total energies is 0.050 eV per atom. The calculation puts the theoretical density at 3.88 Mg/m³.

The structure belongs to space group Pm-3m (No. 221); the cell edges are 5.2178, 5.2178 and 5.2178 Å and the angles 90.00°, 90.00° and 90.00°. Symmetry generates all atoms from Sr at (0.0000, 0.0000, 0.5000), Mn at (0.5000, 0.5000, 0.5000) and N at (0.0000, 0.0000, 0.0000).

No. 5
Li4GeS4: relaxed, GGA-PBEsol.

The magnetization is 0.00 μB per formula unit. The formation energy from raw total energies is -1.076 eV per atom. The calculation puts the theoretical density at 2.32 Mg/m³.

The structure belongs to space group P2_12_12_1 (No. 19); the cell edges are 6.0574, 7.7043 and 14.0350 Å and the angles 90.00°, 90.00° and 90.00°. Symmetry generates all atoms from Li at (0.0019, 0.2475, 0.2502), Li at (0.1293, 0.0014, 0.6630), Li at (0.1900, 0.2492, 0.4273), Li at (0.1896, 0.7490, 0.4270), Ge at (0.1468, 0.5011, 0.6615), S at (0.2187, 0.0009, 0.8343), S at (0.2201, 0.7360, 0.0934), S at (0.2206, 0.2616, 0.0933) and S at (0.2286, 0.4988, 0.3124).

No. 6
DyTe3: relaxed, GGA-PBEsol.

The magnetization is 0.00 μB per formula unit. The formation energy from raw total energies is -0.944 eV per atom. The calculation puts the theoretical density at 7.81 Mg/m³.

The structure belongs to space group Cmcm (No. 63); the cell edges are 4.2695, 25.4431 and 4.2719 Å and the angles 90.00°, 90.00° and 90.00°. Symmetry generates all atoms from Dy at (0.0000, 0.1699, 0.2500), Te at (0.0000, 0.0733, 0.7500), Te at (0.0000, 0.2937, 0.2500) and Te at (0.0000, 0.4267, 0.7500).

No. 7
LiWNF2: relaxed, GGA-PBEsol.

The magnetization is 1.25 μB per formula unit. The formation energy from raw total energies is -0.700 eV per atom. The calculation puts the theoretical density at 9.04 Mg/m³.

The structure belongs to space group P4/mmm (No. 123); the cell edges are 3.1777, 3.1777 and 4.4177 Å and the angles 90.00°, 90.00° and 90.00°. Symmetry generates all atoms from Li at (0.0000, 0.0000, 0.0000), W at (0.5000, 0.5000, 0.5000), N at (0.0000, 0.0000, 0.5000) and F at (0.0000, 0.5000, 0.0000).

No. 8
Tm2MgS4: relaxed, GGA-PBEsol.

The magnetization is 0.00 μB per formula unit. The formation energy from raw total energies is -1.914 eV per atom. The calculation puts the theoretical density at 4.99 Mg/m³.

The structure belongs to space group Fd-3m (No. 227, origin choice 2); the cell edges are 10.9307, 10.9307 and 10.9307 Å and the angles 90.00°, 90.00° and 90.00°. Symmetry generates all atoms from Tm at (0.0000, 0.0000, 0.0000), Mg at (0.1250, 0.1250, 0.6250) and S at (0.0056, 0.0056, 0.2444).